Record 1
Ac3PdPbN | PBE | optimized geometry

```
Ac3PdPbN
1.0
-3.097 -1.793 -2.318
5.880 0.246 -8.045
1.998 -9.078 4.353
Ac Pb Pd N
6 2 2 2
Direct
0.750 0.162 0.522 Ac
0.750 0.440 0.158 Ac
0.250 0.108 0.844 Ac
0.250 0.560 0.842 Ac
0.750 0.892 0.156 Ac
0.250 0.838 0.478 Ac
0.750 0.804 0.774 Pb
0.250 0.196 0.226 Pb
0.750 0.343 0.854 Pd
0.250 0.657 0.146 Pd
0.250 0.081 0.609 N
0.750 0.919 0.391 N
```

Output
**ΔE_f (raw)**: -0.74 eV/atom
**Space-group type**: P2_1/m
**D(E_F)**: 6.2 states/eV/cell
**Calculated total energy**: -5.665 eV/atom

---

Record 2
Zr2Be15Fe2 | PBE | optimized geometry

```
Zr2Be15Fe2
1.0
5.682 -0.040 0.699
0.613 5.649 0.699
-0.045 -0.040 5.725
Fe Be Zr
2 15 2
Direct
0.901 0.901 0.901 Fe
0.099 0.099 0.099 Fe
0.718 0.000 0.282 Be
0.718 0.282 0.000 Be
0.341 0.341 0.848 Be
0.000 0.500 0.000 Be
0.000 0.000 0.500 Be
0.000 0.282 0.718 Be
0.152 0.659 0.659 Be
0.659 0.152 0.659 Be
0.341 0.848 0.341 Be
0.500 0.000 0.000 Be
0.282 0.718 0.000 Be
0.282 0.000 0.718 Be
0.000 0.718 0.282 Be
0.848 0.341 0.341 Be
0.659 0.659 0.152 Be
0.342 0.342 0.342 Zr
0.658 0.658 0.658 Zr
```

Output
**Space-group type**: R-3m
**ΔE_f**: -0.251 eV per atom
**D(E_F)**: 5.7 states/eV/cell
**Calculated total energy**: -4.984 eV/atom

---

Record 3
Nd2ThP3 | PBE | optimized geometry

```
Nd2ThP3
1.0
3.880 0.000 -1.514
-1.068 5.099 -2.736
0.556 0.558 7.152
Nd P Th
2 3 1
Direct
0.333 0.833 0.666 Nd
0.667 0.167 0.334 Nd
0.337 0.337 0.674 P
0.000 0.000 0.000 P
0.663 0.663 0.326 P
0.000 0.500 0.000 Th
```

Output
**Space-group type**: Immm
**ΔE_f**: -1.572 eV per atom
**D(E_F)**: 1.8 states/eV/cell
**Calculated total energy**: -7.102 eV/atom

---

Record 4
Na2ThZnS4 | PBE | optimized geometry

```
Na2ThZnS4
1.0
7.979 -0.143 -0.205
-0.149 7.979 -0.205
-4.031 -4.034 5.908
S Zn Na Th
8 2 4 2
Direct
0.750 0.266 0.012 S
0.234 0.750 0.488 S
0.766 0.250 0.512 S
0.779 0.765 0.981 S
0.250 0.734 0.988 S
0.735 0.721 0.519 S
0.265 0.279 0.481 S
0.221 0.235 0.019 S
0.000 0.000 0.000 Zn
0.500 0.500 0.500 Zn
0.500 0.000 0.500 Na
0.500 0.000 0.000 Na
0.000 0.000 0.500 Na
0.500 0.500 0.000 Na
0.000 0.500 0.500 Th
0.000 0.500 0.000 Th
```

Output
**ΔE_f (raw)**: -1.32 eV/atom
**Space-group type**: C2/c
**D(E_F)**: 0.0 states/eV/cell
**Calculated total energy**: -4.799 eV/atom

---

Record 5
TbMgSnHg | PBE | optimized geometry

```
TbMgSnHg
1.0
4.283 0.000 0.000
0.000 4.623 0.000
0.000 0.000 4.898
Sn Mg Tb Hg
1 1 1 1
Direct
0.000 0.000 0.000 Sn
0.500 0.000 0.500 Mg
0.500 0.500 0.000 Tb
0.000 0.500 0.500 Hg
```

Output
**Space-group type**: Pmmm
**ΔE_f**: -0.477 eV per atom
**D(E_F)**: 1.3 states/eV/cell
**ΔE to the lowest computed polymorph**: 0 meV/atom
**Calculated total energy**: -3.110 eV/atom

---

Record 6
LiSm2OsC | PBE | optimized geometry

```
LiSm2OsC
1.0
3.918 0.000 0.000
0.000 5.146 0.000
0.000 0.000 5.146
Os Li C Sm
1 1 1 2
Direct
0.500 0.000 0.000 Os
0.500 0.500 0.500 Li
0.000 0.000 0.000 C
0.000 0.500 0.000 Sm
0.000 0.000 0.500 Sm
```

Output
**Space-group type**: P4/mmm
**ΔE_f**: -0.214 eV per atom
**D(E_F)**: 3.2 states/eV/cell
**Calculated total energy**: -6.575 eV/atom

---

Record 7
Na2ZnCu2 | PBE | optimized geometry

```
Na2ZnCu2
1.0
-2.575 2.907 0.253
-2.918 -2.571 -0.148
-2.650 -0.319 6.627
Cu Zn Na
2 1 2
Direct
0.413 0.413 0.173 Cu
0.587 0.587 0.827 Cu
0.000 0.000 0.000 Zn
0.250 0.750 0.500 Na
0.750 0.250 0.500 Na
```

Output
**Space-group type**: I4/mmm
**ΔE_f**: 0.484 eV per atom
**D(E_F)**: 1.4 states/eV/cell
**ΔE to the lowest computed polymorph**: 320 meV/atom
**Calculated total energy**: -1.937 eV/atom

---

Record 8
Pm4CuRh | PBE | optimized geometry

```
Pm4CuRh
1.0
4.186 0.011 0.008
-0.019 6.090 1.249
-0.019 1.772 7.407
Pm Rh Cu
4 1 1
Direct
0.501 0.987 0.251 Pm
0.501 0.008 0.744 Pm
0.001 0.511 0.732 Pm
0.001 0.483 0.265 Pm
0.001 0.997 0.498 Rh
0.501 0.498 0.999 Cu
```

Output
**Space-group type**: Pm
**ΔE_f**: -0.217 eV per atom
**D(E_F)**: 6.3 states/eV/cell
**ΔE to the lowest computed polymorph**: 92 meV/atom
**Calculated total energy**: -5.292 eV/atom

---

Which of these has the lowest calculated total energy?
Nd2ThP3